Run 1
Tm4Tl3Pd: relaxed, PBE-GGA.

Computed properties:
As for the spin magnetization: 0.2 μB per formula unit.

Cell and atoms, written as POSCAR:
```
Tm4Tl3Pd
1.0
3.580 0.000 0.000
0.000 3.580 0.000
0.000 0.000 15.634
Tm Tl Pd
4 3 1
direct
0.000 0.000 0.105
0.000 0.000 0.895
0.000 0.000 0.632
0.000 0.000 0.368
0.500 0.500 0.500
0.500 0.500 0.239
0.500 0.500 0.761
0.500 0.500 0.000
```

Run 2
Tm4Tl3Pd: relaxed, PBE-GGA.

Computed properties:
As for the spin magnetization: 0.0 μB per formula unit.

Cell and atoms, written as POSCAR:
```
Tm4Tl3Pd
1.0
3.769 0.000 0.000
0.000 4.806 0.000
0.000 0.000 11.453
Tl Tm Pd
3 4 1
direct
0.000 0.000 0.409
0.500 0.000 0.916
0.000 0.500 0.592
0.500 0.000 0.651
0.000 0.500 0.881
0.000 0.000 0.139
0.500 0.500 0.329
0.500 0.500 0.083
```

Which of them is the most stable? Correct choice: run 1.

Run 1
Tm12TlPd6: relaxed, PBE-GGA.

Computed properties:
As for the spin magnetization: 0.0 μB per formula unit.

Cell and atoms, written as POSCAR:
```
Tm12TlPd6
1.0
-3.208 -5.807 -5.322
6.022 -3.588 4.816
-6.199 3.007 4.986
Tm Pd Tl
12 6 1
direct
0.817 0.296 0.112
0.112 0.817 0.296
0.479 0.183 0.296
0.183 0.704 0.888
0.704 0.521 0.817
0.704 0.888 0.183
0.296 0.479 0.183
0.817 0.704 0.521
0.888 0.183 0.704
0.183 0.296 0.479
0.521 0.817 0.704
0.296 0.112 0.817
0.638 0.500 0.138
0.138 0.638 0.500
0.500 0.138 0.638
0.362 0.500 0.862
0.500 0.862 0.362
0.862 0.362 0.500
0.000 0.000 0.000
```

Run 2
Tm12TlPd6: relaxed, PBE-GGA.

Computed properties:
As for the spin magnetization: 0.0 μB per formula unit.

Cell and atoms, written as POSCAR:
```
Tm12TlPd6
1.0
-1.716 0.694 -8.374
8.509 -0.075 1.065
-3.194 -7.429 2.855
Tm Pd Tl
12 6 1
direct
0.555 0.853 0.617
0.327 0.034 0.861
0.034 0.861 0.327
0.139 0.673 0.966
0.617 0.555 0.853
0.445 0.147 0.383
0.673 0.966 0.139
0.966 0.139 0.673
0.383 0.445 0.147
0.147 0.383 0.445
0.853 0.617 0.555
0.861 0.327 0.034
0.782 0.353 0.707
0.647 0.293 0.218
0.293 0.218 0.647
0.353 0.707 0.782
0.218 0.647 0.293
0.707 0.782 0.353
0.000 0.000 0.000
```

Which of them is the most stable? Correct choice: run 1.

Run 1
Tl2PdW: relaxed, PBE-GGA.

Computed properties:
As for the spin magnetization: 0.3 μB per formula unit.

Cell and atoms, written as POSCAR:
```
Tl2PdW
1.0
-0.994 -3.766 1.568
1.847 -1.855 -3.283
8.918 -3.015 4.036
W Tl Pd
2 4 2
direct
0.750 0.250 0.500
0.000 0.000 0.000
0.375 0.371 0.750
0.121 0.625 0.250
0.875 0.879 0.750
0.629 0.125 0.250
0.500 0.500 0.000
0.250 0.750 0.500
```

Run 2
Tl2PdW: relaxed, PBE-GGA.

Computed properties:
As for the spin magnetization: 1.6 μB per formula unit.

Cell and atoms, written as POSCAR:
```
Tl2PdW
1.0
0.000 3.400 3.400
3.400 0.000 3.400
3.400 3.400 0.000
W Pd Tl
1 1 2
direct
0.500 0.500 0.500
0.000 0.000 0.000
0.750 0.750 0.750
0.250 0.250 0.250
```

Which of them is the most stable? Correct choice: run 2.

Run 1
YTlPd: relaxed, PBE-GGA.

Computed properties:
As for the spin magnetization: 0.0 μB per formula unit.

Cell and atoms, written as POSCAR:
```
YTlPd
1.0
7.898 0.000 0.000
-3.949 6.840 0.000
0.000 0.000 3.768
Tl Y Pd
3 3 3
direct
0.732 0.732 0.000
0.000 0.268 0.000
0.268 0.000 0.000
0.000 0.598 0.500
0.598 0.000 0.500
0.402 0.402 0.500
0.667 0.333 0.000
0.000 0.000 0.500
0.333 0.667 0.000
```

Run 2
YTlPd: relaxed, PBE-GGA.

Computed properties:
As for the spin magnetization: 0.1 μB per formula unit.

Cell and atoms, written as POSCAR:
```
YTlPd
1.0
3.320 0.000 0.000
0.000 3.320 0.000
-1.660 -1.660 7.450
Y Pd Tl
1 1 1
direct
0.938 0.938 0.876
0.763 0.763 0.526
0.149 0.149 0.297
```

Which of them is the most stable? Correct choice: run 1.

Run 1
Y3TlPd: relaxed, PBE-GGA.

Computed properties:
As for the spin magnetization: 0.0 μB per formula unit.

Cell and atoms, written as POSCAR:
```
Y3TlPd
1.0
-0.872 5.794 4.672
-0.134 -5.524 6.825
8.579 -0.211 1.861
Y Tl Pd
12 4 4
direct
0.406 0.194 0.027
0.906 0.306 0.472
0.906 0.027 0.194
0.094 0.694 0.528
0.594 0.806 0.973
0.215 0.566 0.934
0.406 0.472 0.306
0.594 0.528 0.694
0.715 0.934 0.566
0.785 0.434 0.066
0.094 0.973 0.806
0.285 0.066 0.434
0.750 0.682 0.318
0.250 0.318 0.682
0.750 0.183 0.817
0.250 0.817 0.183
0.384 0.810 0.691
0.884 0.691 0.810
0.116 0.309 0.190
0.616 0.190 0.309
```

Run 2
Y3TlPd: relaxed, PBE-GGA.

Computed properties:
As for the spin magnetization: 0.0 μB per formula unit.

Cell and atoms, written as POSCAR:
```
Y3TlPd
1.0
5.407 0.000 0.000
0.000 5.407 0.000
0.000 0.000 5.407
Y Pd Tl
3 1 1
direct
0.500 0.000 0.000
0.000 0.500 0.000
0.000 0.000 0.500
0.000 0.000 0.000
0.500 0.500 0.500
```

Which of them is the most stable? Correct choice: run 1.

Run 1
YTl3Pd: relaxed, PBE-GGA.

Computed properties:
As for the spin magnetization: 0.4 μB per formula unit.

Cell and atoms, written as POSCAR:
```
YTl3Pd
1.0
5.835 0.000 0.000
0.000 5.835 0.000
0.000 0.000 5.835
Tl Y Pd
3 1 1
direct
0.000 0.500 0.000
0.000 0.000 0.500
0.500 0.000 0.000
0.000 0.000 0.000
0.500 0.500 0.500
```

Run 2
YTl3Pd: relaxed, PBE-GGA.

Computed properties:
As for the spin magnetization: 0.0 μB per formula unit.

Cell and atoms, written as POSCAR:
```
YTl3Pd
1.0
5.270 0.000 0.000
0.000 5.270 0.000
0.000 0.000 5.270
Tl Pd Y
3 1 1
direct
0.000 0.000 0.500
0.000 0.500 0.000
0.500 0.000 0.000
0.000 0.000 0.000
0.500 0.500 0.500
```

Which of them is the most stable? Correct choice: run 2.

Run 1
Y4TlPd: relaxed, PBE-GGA.

Computed properties:
As for the spin magnetization: 0.0 μB per formula unit.

Cell and atoms, written as POSCAR:
```
Y4TlPd
1.0
-5.559 -0.863 0.624
1.255 -6.557 2.112
4.132 3.225 7.555
Pd Y Tl
2 8 2
direct
0.783 0.750 0.447
0.217 0.250 0.553
0.958 0.006 0.265
0.958 0.494 0.265
0.042 0.994 0.735
0.042 0.506 0.735
0.413 0.750 0.568
0.587 0.250 0.432
0.361 0.750 0.124
0.639 0.250 0.876
0.723 0.750 0.933
0.277 0.250 0.067
```

Run 2
Y4TlPd: relaxed, PBE-GGA.

Computed properties:
As for the spin magnetization: 0.0 μB per formula unit.

Cell and atoms, written as POSCAR:
```
Y4TlPd
1.0
6.045 -0.247 0.000
-1.843 8.242 0.000
-2.101 -3.997 6.899
Y Pd Tl
8 2 2
direct
0.320 0.643 0.855
0.642 0.063 0.360
0.781 0.703 0.640
0.965 0.788 0.145
0.219 0.297 0.360
0.680 0.357 0.145
0.358 0.937 0.640
0.035 0.212 0.855
0.249 0.999 0.999
0.751 0.001 0.001
0.376 0.626 0.252
0.624 0.374 0.748
```

Which of them is the most stable? Correct choice: run 1.

Run 1
YTlPd6: relaxed, PBE-GGA.

Computed properties:
As for the spin magnetization: 0.0 μB per formula unit.

Cell and atoms, written as POSCAR:
```
YTlPd6
1.0
5.445 0.525 0.594
-0.073 5.470 0.594
-0.073 -0.082 5.502
Pd Tl Y
6 1 1
direct
0.160 0.160 0.531
0.840 0.469 0.840
0.840 0.840 0.469
0.469 0.840 0.840
0.531 0.160 0.160
0.160 0.531 0.160
0.500 0.500 0.500
0.000 0.000 0.000
```

Run 2
YTlPd6: relaxed, PBE-GGA.

Computed properties:
As for the spin magnetization: 0.0 μB per formula unit.

Cell and atoms, written as POSCAR:
```
YTlPd6
1.0
4.105 0.000 0.000
0.000 4.105 0.000
0.000 0.000 8.250
Pd Y Tl
6 1 1
direct
0.500 0.500 0.500
0.500 0.000 0.747
0.500 0.000 0.253
0.500 0.500 0.000
0.000 0.500 0.253
0.000 0.500 0.747
0.000 0.000 0.000
0.000 0.000 0.500
```

Which of them is the most stable? Correct choice: run 2.

Run 1
TlZn2Pd: relaxed, PBE-GGA.

Computed properties:
As for the spin magnetization: 0.0 μB per formula unit.

Cell and atoms, written as POSCAR:
```
TlZn2Pd
1.0
0.000 3.278 3.278
3.278 0.000 3.278
3.278 3.278 0.000
Zn Pd Tl
2 1 1
direct
0.250 0.250 0.250
0.750 0.750 0.750
0.000 0.000 0.000
0.500 0.500 0.500
```

Run 2
TlZn2Pd: relaxed, PBE-GGA.

Computed properties:
As for the spin magnetization: 0.0 μB per formula unit.

Cell and atoms, written as POSCAR:
```
TlZn2Pd
1.0
4.116 0.000 0.000
0.000 4.116 0.000
2.058 2.058 9.354
Zn Pd Tl
4 2 2
direct
0.182 0.625 0.250
0.375 0.432 0.750
0.875 0.818 0.750
0.568 0.125 0.250
0.250 0.750 0.500
0.500 0.500 0.000
0.000 0.000 0.000
0.750 0.250 0.500
```

Which of them is the most stable? Correct choice: run 1.

Run 1
TlZn2Pd2: relaxed, PBE-GGA.

Computed properties:
As for the spin magnetization: 0.0 μB per formula unit.

Cell and atoms, written as POSCAR:
```
TlZn2Pd2
1.0
4.056 0.000 0.000
0.000 4.056 0.000
2.028 2.028 5.716
Zn Pd Tl
2 2 1
direct
0.613 0.613 0.775
0.387 0.387 0.225
0.250 0.750 0.500
0.750 0.250 0.500
0.000 0.000 0.000
```

Run 2
TlZn2Pd2: relaxed, PBE-GGA.

Computed properties:
As for the spin magnetization: 0.0 μB per formula unit.

Cell and atoms, written as POSCAR:
```
TlZn2Pd2
1.0
-1.827 -3.159 0.429
2.284 -1.642 -2.364
4.206 -4.025 4.004
Tl Zn Pd
1 2 2
direct
0.000 0.000 0.000
0.750 0.250 0.500
0.250 0.750 0.500
0.393 0.393 0.213
0.607 0.607 0.787
```

Run 3
TlZn2Pd2: relaxed, PBE-GGA.

Computed properties:
As for the spin magnetization: 0.0 μB per formula unit.

Cell and atoms, written as POSCAR:
```
TlZn2Pd2
1.0
-4.583 -5.952 -0.007
5.215 -4.020 3.616
-1.156 0.886 2.652
Pd Tl Zn
4 2 4
direct
0.643 0.143 0.000
0.857 0.643 0.000
0.143 0.357 0.000
0.357 0.857 0.000
0.500 0.500 0.000
0.000 0.000 0.000
0.350 0.150 0.500
0.650 0.850 0.500
0.850 0.350 0.500
0.150 0.650 0.500
```

Which of them is the most stable? Correct choice: run 3.

Run 1
TlZnPd4: relaxed, PBE-GGA.

Computed properties:
As for the spin magnetization: 0.0 μB per formula unit.

Cell and atoms, written as POSCAR:
```
TlZnPd4
1.0
2.989 0.000 0.000
0.000 7.490 0.000
0.000 0.000 17.651
Pd Zn Tl
16 4 4
direct
0.250 0.631 0.162
0.250 0.535 0.435
0.250 0.131 0.338
0.750 0.369 0.838
0.750 0.445 0.302
0.750 0.965 0.935
0.250 0.607 0.945
0.750 0.393 0.055
0.250 0.055 0.802
0.750 0.465 0.565
0.250 0.035 0.065
0.250 0.555 0.698
0.750 0.893 0.445
0.250 0.107 0.555
0.750 0.869 0.662
0.750 0.945 0.198
0.250 0.251 0.947
0.750 0.749 0.053
0.750 0.249 0.447
0.250 0.751 0.553
0.750 0.231 0.687
0.750 0.731 0.813
0.250 0.269 0.187
0.250 0.769 0.313
```

Run 2
TlZnPd4: relaxed, PBE-GGA.

Computed properties:
As for the spin magnetization: 0.0 μB per formula unit.

Cell and atoms, written as POSCAR:
```
TlZnPd4
1.0
-2.481 1.631 3.749
-5.026 -7.256 -0.170
2.420 -1.762 3.702
Pd Zn Tl
8 2 2
direct
0.500 0.161 0.000
0.000 0.339 0.000
0.999 0.835 0.500
0.001 0.165 0.500
0.501 0.335 0.500
0.000 0.661 0.000
0.500 0.839 0.000
0.499 0.665 0.500
0.000 0.500 0.500
0.500 0.000 0.500
0.500 0.500 0.000
0.000 0.000 0.000
```

Which of them is the most stable? Correct choice: run 1.